<a>
# Al3AsPd

Al3AsPd after structural relaxation (GGA-PBE, Alexandria via LeMat-Bulk).

Cell: 4.7238 4.7238 4.7238 Å, 90.00 90.00 90.00°
With the nearest neighbours (Å) after each atom.
Fractional positions:
Al  0.0000  0.0000  0.5000  2 Pd 2.36
Al  0.0000  0.5000  0.0000  2 Pd 2.36
Al  0.5000  0.0000  0.0000  2 Pd 2.36
As  0.5000  0.5000  0.5000  12 Al 3.34
Pd  0.0000  0.0000  0.0000  6 Al 2.36

=====

<b>
# Al3AsPd

Al3AsPd after structural relaxation (GGA-PBE, Alexandria via LeMat-Bulk).

Cell: 4.8068 4.8068 4.8068 Å, 90.00 90.00 90.00°
With the nearest neighbours (Å) after each atom.
Fractional positions:
Al  0.0000  0.0000  0.5000  2 As 2.40
Al  0.0000  0.5000  0.0000  2 As 2.40
Al  0.5000  0.0000  0.0000  2 As 2.40
As  0.0000  0.0000  0.0000  6 Al 2.40
Pd  0.5000  0.5000  0.5000  12 Al 3.40

=====

The data favor <a>; the next most stable structure lies 563 meV/atom above it.

=====

<a>
# AlAsPd6

AlAsPd6 after structural relaxation (GGA-PBE, Alexandria via LeMat-Bulk).

Cell: 6.8231 6.4067 4.7006 Å, 74.01 64.51 41.47°
With the nearest neighbours (Å) after each atom.
Fractional positions:
Al  0.0000  0.0000  0.0000  10 Pd 2.72-2.81, 2 As 2.88
As  0.5000  0.5000  0.5000  10 Pd 2.72-2.91, 2 Al 2.88
Pd  0.1195  0.1195  0.3805  2 As 2.72, 2 Al 2.72, 8 Pd 2.74-2.99
Pd  0.2455  0.2455  0.7545  10 Pd 2.76-2.88, 1 Al 2.81, 1 As 2.91
Pd  0.3805  0.3805  0.1195  2 As 2.72, 2 Al 2.72, 8 Pd 2.74-2.99
Pd  0.6195  0.6195  0.8805  2 As 2.72, 2 Al 2.72, 8 Pd 2.74-2.99
Pd  0.7545  0.7545  0.2455  10 Pd 2.76-2.88, 1 Al 2.81, 1 As 2.91
Pd  0.8805  0.8805  0.6195  2 As 2.72, 2 Al 2.72, 8 Pd 2.74-2.99

=====

<b>
# AlAsPd6

AlAsPd6 after structural relaxation (GGA-PBE, Alexandria via LeMat-Bulk).

Cell: 5.3519 5.3527 5.3601 Å, 69.57 69.85 69.75°
With the nearest neighbours (Å) after each atom.
Fractional positions:
Al  0.0000  0.0000  0.0000  6 Pd 2.48
As  0.5000  0.5000  0.5000  6 Pd 2.45-2.46
Pd  0.0228  0.7476  0.4803  1 As 2.46, 1 Al 2.48, 2 Pd 2.67-2.70
Pd  0.2528  0.5201  0.9759  1 As 2.46, 1 Al 2.48, 2 Pd 2.68-2.70
Pd  0.4804  0.0226  0.7474  1 As 2.45, 1 Al 2.48, 2 Pd 2.68-2.71
Pd  0.5196  0.9774  0.2526  1 As 2.45, 1 Al 2.48, 2 Pd 2.68-2.71
Pd  0.7472  0.4799  0.0241  1 As 2.46, 1 Al 2.48, 2 Pd 2.68-2.70
Pd  0.9772  0.2524  0.5197  1 As 2.46, 1 Al 2.48, 2 Pd 2.67-2.70

=====

The data favor <a>; the next most stable structure lies 42 meV/atom above it.

=====

<a>
# Pm2AlAs

Pm2AlAs after structural relaxation (GGA-PBE, Alexandria via LeMat-Bulk).

Cell: 3.9272 3.9272 29.5757 Å, 90.00 90.00 120.00°
With the nearest neighbours (Å) after each atom.
Fractional positions:
Pm  0.0000  0.0000  0.1073  3 As 2.87, 1 Al 3.17
Pm  0.0000  0.0000  0.8927  3 As 2.87, 1 Al 3.17
Pm  0.3333  0.6667  0.5594  3 As 2.87, 1 Al 3.17
Pm  0.3333  0.6667  0.7740  3 As 2.87, 1 Al 3.17
Pm  0.6667  0.3333  0.2260  3 As 2.87, 1 Al 3.17
Pm  0.6667  0.3333  0.4406  3 As 2.87, 1 Al 3.17
Al  0.0000  0.0000  0.0000  2 Pm 3.17
Al  0.3333  0.6667  0.6667  2 Pm 3.17
Al  0.6667  0.3333  0.3333  2 Pm 3.17
As  0.0000  0.0000  0.5000  6 Pm 2.87
As  0.3333  0.6667  0.1667  6 Pm 2.87
As  0.6667  0.3333  0.8333  6 Pm 2.87

=====

<b>
# Pm2AlAs

Pm2AlAs after structural relaxation (GGA-PBE, Alexandria via LeMat-Bulk).

Cell: 7.3974 7.3974 7.3974 Å, 90.00 90.00 90.00°
With the nearest neighbours (Å) after each atom.
Fractional positions:
Pm  0.2500  0.2500  0.2500  4 As 3.20, 4 Al 3.20
Pm  0.2500  0.2500  0.7500  4 As 3.20, 4 Al 3.20
Pm  0.2500  0.7500  0.2500  4 As 3.20, 4 Al 3.20
Pm  0.2500  0.7500  0.7500  4 As 3.20, 4 Al 3.20
Pm  0.7500  0.2500  0.2500  4 As 3.20, 4 Al 3.20
Pm  0.7500  0.2500  0.7500  4 As 3.20, 4 Al 3.20
Pm  0.7500  0.7500  0.2500  4 As 3.20, 4 Al 3.20
Pm  0.7500  0.7500  0.7500  4 As 3.20, 4 Al 3.20
Al  0.0000  0.0000  0.0000  8 Pm 3.20
Al  0.0000  0.5000  0.5000  8 Pm 3.20
Al  0.5000  0.0000  0.5000  8 Pm 3.20
Al  0.5000  0.5000  0.0000  8 Pm 3.20
As  0.0000  0.0000  0.5000  8 Pm 3.20
As  0.0000  0.5000  0.0000  8 Pm 3.20
As  0.5000  0.0000  0.0000  8 Pm 3.20
As  0.5000  0.5000  0.5000  8 Pm 3.20

=====

The data favor <b>; the next most stable structure lies 226 meV/atom above it.

=====

<a>
# Al3AsPt

Al3AsPt after structural relaxation (GGA-PBE, Alexandria via LeMat-Bulk).

Cell: 4.7452 4.7452 4.7452 Å, 90.00 90.00 90.00°
With the nearest neighbours (Å) after each atom.
Fractional positions:
Al  0.0000  0.0000  0.5000  2 As 2.37
Al  0.0000  0.5000  0.0000  2 As 2.37
Al  0.5000  0.0000  0.0000  2 As 2.37
As  0.0000  0.0000  0.0000  6 Al 2.37
Pt  0.5000  0.5000  0.5000  12 Al 3.36

=====

<b>
# Al3AsPt

Al3AsPt after structural relaxation (GGA-PBE, Alexandria via LeMat-Bulk).

Cell: 4.7565 4.7565 4.7565 Å, 90.00 90.00 90.00°
With the nearest neighbours (Å) after each atom.
Fractional positions:
Al  0.0000  0.0000  0.5000  2 Pt 2.38
Al  0.0000  0.5000  0.0000  2 Pt 2.38
Al  0.5000  0.0000  0.0000  2 Pt 2.38
As  0.5000  0.5000  0.5000  12 Al 3.36
Pt  0.0000  0.0000  0.0000  6 Al 2.38

=====

The data favor <b>; the next most stable structure lies 747 meV/atom above it.

=====

<a>
# Al2AsPt2

Al2AsPt2 after structural relaxation (GGA-PBE, Alexandria via LeMat-Bulk).

Cell: 7.5374 7.5374 2.8188 Å, 90.00 90.00 90.00°
With the nearest neighbours (Å) after each atom.
Fractional positions:
Al  0.1517  0.3483  0.0000  6 Pt 2.59-2.64, 2 Al 2.82
Al  0.3483  0.8483  0.0000  6 Pt 2.59-2.64, 2 Al 2.82
Al  0.6517  0.1517  0.0000  6 Pt 2.59-2.64, 2 Al 2.82
Al  0.8483  0.6517  0.0000  6 Pt 2.59-2.64, 2 Al 2.82
As  0.0000  0.0000  0.5000  2 As 2.82, 4 Pt 2.89
As  0.5000  0.5000  0.5000  2 As 2.82, 4 Pt 2.89
Pt  0.1441  0.6441  0.5000  6 Al 2.59-2.64, 2 Pt 2.82, 2 As 2.89
Pt  0.3559  0.1441  0.5000  6 Al 2.59-2.64, 2 Pt 2.82, 2 As 2.89
Pt  0.6441  0.8559  0.5000  6 Al 2.59-2.64, 2 Pt 2.82, 2 As 2.89
Pt  0.8559  0.3559  0.5000  6 Al 2.59-2.64, 2 Pt 2.82, 2 As 2.89

=====

<b>
# Al2AsPt2

Al2AsPt2 after structural relaxation (GGA-PBE, Alexandria via LeMat-Bulk).

Cell: 3.8282 3.8282 11.8343 Å, 90.00 90.00 90.00°
With the nearest neighbours (Å) after each atom.
Fractional positions:
Al  0.0000  0.5000  0.2500  4 Pt 2.48, 4 Al 2.71
Al  0.0000  0.5000  0.7500  4 Pt 2.48, 4 Al 2.71
Al  0.5000  0.0000  0.2500  4 Pt 2.48, 4 Al 2.71
Al  0.5000  0.0000  0.7500  4 Pt 2.48, 4 Al 2.71
As  0.0000  0.0000  0.0000  8 Pt 3.04
As  0.5000  0.5000  0.5000  8 Pt 3.04
Pt  0.0000  0.0000  0.3838  4 Al 2.48, 1 Pt 2.75
Pt  0.0000  0.0000  0.6162  4 Al 2.48, 1 Pt 2.75
Pt  0.5000  0.5000  0.1162  4 Al 2.48, 1 Pt 2.75
Pt  0.5000  0.5000  0.8838  4 Al 2.48, 1 Pt 2.75

=====

The data favor <a>; the next most stable structure lies 142 meV/atom above it.

=====

<a>
# Pu2AlAs

Pu2AlAs after structural relaxation (GGA-PBE, Alexandria via LeMat-Bulk).

Cell: 3.2559 3.2559 8.3671 Å, 90.00 90.00 90.00°
With the nearest neighbours (Å) after each atom.
Fractional positions:
Pu  0.0000  0.0000  0.2337  4 As 3.02, 4 Al 3.20, 4 Pu 3.26
Pu  0.0000  0.0000  0.7663  4 As 3.02, 4 Al 3.20, 4 Pu 3.26
Al  0.5000  0.5000  0.5000  8 Pu 3.20, 4 Al 3.26
As  0.5000  0.5000  0.0000  8 Pu 3.02, 4 As 3.26

=====

<b>
# Pu2AlAs

Pu2AlAs after structural relaxation (GGA-PBE, Alexandria via LeMat-Bulk).

Cell: 4.5562 4.5562 4.2057 Å, 90.00 90.00 90.00°
With the nearest neighbours (Å) after each atom.
Fractional positions:
Pu  0.0000  0.5000  0.0000  4 As 3.10, 4 Al 3.10, 4 Pu 3.22
Pu  0.5000  0.0000  0.0000  4 As 3.10, 4 Al 3.10, 4 Pu 3.22
Al  0.0000  0.0000  0.5000  8 Pu 3.10, 4 As 3.22
As  0.5000  0.5000  0.5000  8 Pu 3.10, 4 Al 3.22

=====

The data favor <b>; the next most stable structure lies 22 meV/atom above it.